18
Lattice="3.6045 2.0810 5.8316 -3.6045 2.0810 5.8316 0.0000 -4.1621 5.8316" Properties=species:S:1:pos:R:3 comment="PBE with a Hubbard U K2VOs3O12, relaxed" final_energy_ev_per_cell=-126.34 pbc="T T T"
K 0.0000 0.0000 2.2664
K 0.0000 0.0000 15.2284
V 0.0000 0.0000 8.7474
Os -1.8022 -1.0405 5.8316
Os -1.8022 1.0405 11.6632
Os 0.0000 2.0810 5.8316
O -1.3745 -0.7936 7.6980
O 0.0000 -1.5877 5.4970
O -1.3750 0.7938 5.4970
O -1.3750 -0.7938 11.9977
O 0.0000 -1.5872 9.7968
O -1.3745 0.7936 9.7968
O 1.3745 -0.7936 7.6980
O 0.0000 1.5872 7.6980
O 1.3750 0.7938 5.4970
O 1.3750 -0.7938 11.9977
O 0.0000 1.5877 11.9977
O 1.3745 0.7936 9.7968